1.
5
Lattice="5.359 0.000 0.000 0.000 5.359 0.000 0.000 0.000 5.359" Properties=species:S:1:pos:R:3 comment="PBE Cd3TeSe, relaxed" total_energy_ev_per_atom=-1.803 polymorph_energy_ev_per_atom=0.000 formation_energy_uncorrected_ev_per_fu=0.4 pbc="T T T"
Cd 0.000 0.000 2.679
Cd 0.000 2.679 0.000
Cd 2.679 0.000 0.000
Te 2.679 2.679 2.679
Se 0.000 0.000 0.000

2.
4
Lattice="3.810 0.000 0.000 0.000 3.810 0.000 0.000 0.000 8.940" Properties=species:S:1:pos:R:3 comment="PBE CsLiPb2, relaxed" total_energy_ev_per_atom=-2.732 polymorph_energy_ev_per_atom=0.036 delta_e_f_kj_per_mol_fu=-72 pbc="T T T"
Cs 0.000 0.000 0.000
Li 0.000 0.000 4.470
Pb 1.905 1.905 2.919
Pb 1.905 1.905 6.021

3.
6
Lattice="0.000 4.153 4.153 4.153 0.000 4.153 4.153 4.153 0.000" Properties=species:S:1:pos:R:3 comment="PBE CrCd4Te, relaxed" total_energy_ev_per_atom=-2.370 formation_energy_uncorrected_ev_per_fu=2.2 pbc="T T T"
Cr 0.000 0.000 0.000
Cd 3.111 3.111 3.111
Cd 5.195 5.195 3.111
Cd 5.195 3.111 5.195
Cd 3.111 5.195 5.195
Te 6.229 6.229 6.229